Run a
Entry from the Alexandria database: Pm2NdNi after structural relaxation (PBE). Values from VASP.

```
&SYSTEM
  ibrav = 0, nat = 16, ntyp = 3
/
ATOMIC_SPECIES
Pm 145.00 Pm.upf
Ni 58.69 Ni.upf
Nd 144.24 Nd.upf
CELL_PARAMETERS angstrom
-3.1898 3.0996 -4.7404
-2.9665 -6.0623 -1.9679
-7.5714 1.6920 6.2011
ATOMIC_POSITIONS crystal
Pm 0.1741 0.6766 0.4333
Ni 0.4315 0.8875 0.2500
Pm 0.3259 0.1766 0.0667
Pm 0.8259 0.3234 0.9333
Ni 0.5685 0.1125 0.7500
Nd 0.3564 0.4656 0.7500
Pm 0.6741 0.8234 0.9333
Pm 0.6741 0.8234 0.5667
Ni 0.0685 0.3875 0.2500
Ni 0.9315 0.6125 0.7500
Nd 0.8564 0.0344 0.2500
Pm 0.8259 0.3234 0.5667
Pm 0.1741 0.6766 0.0667
Pm 0.3259 0.1766 0.4333
Nd 0.1436 0.9656 0.7500
Nd 0.6436 0.5344 0.2500
```

## Properties
* magnetic moment: 0.00 μB per cell
* DOS(E_F): 1.055 states/eV per atom

---

Run b
Entry from the Alexandria database: Pm2NdNi after structural relaxation (PBE). Values from VASP.

```
&SYSTEM
  ibrav = 0, nat = 4, ntyp = 3
/
ATOMIC_SPECIES
Ni 58.69 Ni.upf
Nd 144.24 Nd.upf
Pm 145.00 Pm.upf
CELL_PARAMETERS angstrom
-0.9589 -3.5500 -0.1606
-0.2727 -1.6870 -3.2600
9.7832 -4.5256 -0.5545
ATOMIC_POSITIONS crystal
Ni 0.5000 0.5000 0.5000
Nd 0.0000 0.0000 0.0000
Pm 0.1115 0.1115 0.6655
Pm 0.8885 0.8885 0.3345
```

## Properties
* magnetic moment: 0.38 μB per cell
* DOS(E_F): 1.619 states/eV per atom

---

Most stable structure - run a; separation to the second - 271 meV/atom.

---

Run a
Entry from the Alexandria database: PmNd3Ni after structural relaxation (PBE). Values from VASP.

```
&SYSTEM
  ibrav = 0, nat = 10, ntyp = 3
/
ATOMIC_SPECIES
Nd 144.24 Nd.upf
Pm 145.00 Pm.upf
Ni 58.69 Ni.upf
CELL_PARAMETERS angstrom
3.7183 0.0000 0.6110
1.7925 6.0984 0.7111
-0.2439 -0.4751 13.1039
ATOMIC_POSITIONS crystal
Nd 0.1091 0.1532 0.6286
Nd 0.7782 0.0547 0.3889
Nd 0.9910 0.1117 0.9063
Pm 0.2209 0.5549 0.0033
Nd 0.4380 0.9760 0.1481
Ni 0.4540 0.3195 0.7725
Nd 0.4344 0.6129 0.5183
Nd 0.7748 0.6895 0.7609
Pm 0.1039 0.5137 0.2784
Ni 0.7566 0.3506 0.1362
```

## Properties
* magnetic moment: 0.00 μB per cell
* DOS(E_F): 1.337 states/eV per atom

---

Run b
Entry from the Alexandria database: PmNd3Ni after structural relaxation (PBE). Values from VASP.

```
&SYSTEM
  ibrav = 0, nat = 5, ntyp = 3
/
ATOMIC_SPECIES
Nd 144.24 Nd.upf
Ni 58.69 Ni.upf
Pm 145.00 Pm.upf
CELL_PARAMETERS angstrom
5.4959 0.0000 0.0000
0.0000 5.4959 0.0000
0.0000 0.0000 5.4959
ATOMIC_POSITIONS crystal
Nd 0.5000 0.0000 0.0000
Nd 0.0000 0.0000 0.5000
Nd 0.0000 0.5000 0.0000
Ni 0.0000 0.0000 0.0000
Pm 0.5000 0.5000 0.5000
```

## Properties
* magnetic moment: 0.00 μB per cell
* DOS(E_F): 2.356 states/eV per atom

---

Most stable structure - run a; separation to the second - 150 meV/atom.

---

Run a
Entry from the Alexandria database: Pm3NdNi after structural relaxation (PBE). Values from VASP.

```
&SYSTEM
  ibrav = 0, nat = 5, ntyp = 3
/
ATOMIC_SPECIES
Nd 144.24 Nd.upf
Pm 145.00 Pm.upf
Ni 58.69 Ni.upf
CELL_PARAMETERS angstrom
5.4682 0.0000 0.0000
0.0000 5.4682 0.0000
0.0000 0.0000 5.4682
ATOMIC_POSITIONS crystal
Nd 0.5000 0.5000 0.5000
Pm 0.0000 0.0000 0.5000
Ni 0.0000 0.0000 0.0000
Pm 0.0000 0.5000 0.0000
Pm 0.5000 0.0000 0.0000
```

## Properties
* magnetic moment: 0.00 μB per cell
* DOS(E_F): 2.283 states/eV per atom

---

Run b
Entry from the Alexandria database: Pm3NdNi after structural relaxation (PBE). Values from VASP.

```
&SYSTEM
  ibrav = 0, nat = 10, ntyp = 3
/
ATOMIC_SPECIES
Ni 58.69 Ni.upf
Nd 144.24 Nd.upf
Pm 145.00 Pm.upf
CELL_PARAMETERS angstrom
-2.4283 -5.6900 -0.0308
0.0235 -0.0462 6.6209
-7.1025 3.0308 0.0444
ATOMIC_POSITIONS crystal
Ni 0.6793 0.6740 0.2007
Nd 0.4296 0.3252 0.7009
Pm 0.4184 0.3321 0.2009
Nd 0.9296 0.0276 0.2007
Pm 0.4254 0.8575 0.9537
Pm 0.4254 0.8575 0.4477
Pm 0.9255 0.4953 0.9478
Pm 0.9253 0.4953 0.4539
Pm 0.9183 0.0207 0.7007
Ni 0.1794 0.6787 0.7007
```

## Properties
* magnetic moment: 0.00 μB per cell
* DOS(E_F): 1.368 states/eV per atom

---

Most stable structure - run b; separation to the second - 42 meV/atom.

---

Run a
Entry from the Alexandria database: Pm12NdNi6 after structural relaxation (PBE). Values from VASP.

```
&SYSTEM
  ibrav = 0, nat = 19, ntyp = 3
/
ATOMIC_SPECIES
Nd 144.24 Nd.upf
Pm 145.00 Pm.upf
Ni 58.69 Ni.upf
CELL_PARAMETERS angstrom
8.4624 -0.1106 -0.1558
-2.2049 8.1708 -0.1558
-2.2049 -2.8401 7.6630
ATOMIC_POSITIONS crystal
Nd 0.0000 0.0000 0.0000
Pm 0.8219 0.5619 0.5619
Pm 0.8790 0.1210 0.5000
Ni 0.2561 0.7014 0.2561
Pm 0.5000 0.1210 0.8790
Pm 0.4381 0.1781 0.4381
Pm 0.5000 0.8790 0.1210
Ni 0.7439 0.2986 0.7439
Pm 0.1210 0.5000 0.8790
Ni 0.7439 0.7439 0.2986
Ni 0.2561 0.2561 0.7014
Pm 0.4381 0.4381 0.1781
Pm 0.1781 0.4381 0.4381
Pm 0.1210 0.8790 0.5000
Ni 0.7014 0.2561 0.2561
Pm 0.8790 0.5000 0.1210
Ni 0.2986 0.7439 0.7439
Pm 0.5619 0.5619 0.8219
Pm 0.5619 0.8219 0.5619
```

## Properties
* magnetic moment: 0.00 μB per cell
* DOS(E_F): 1.615 states/eV per atom

---

Run b
Entry from the Alexandria database: Pm12NdNi6 after structural relaxation (PBE). Values from VASP.

```
&SYSTEM
  ibrav = 0, nat = 19, ntyp = 3
/
ATOMIC_SPECIES
Pm 145.00 Pm.upf
Ni 58.69 Ni.upf
Nd 144.24 Nd.upf
CELL_PARAMETERS angstrom
-3.9944 -1.6210 7.6104
6.0775 -6.1173 -1.4638
3.8030 7.8698 0.3216
ATOMIC_POSITIONS crystal
Pm 0.8151 0.6880 0.5030
Ni 0.8783 0.3783 0.5000
Pm 0.1849 0.3120 0.4970
Pm 0.1271 0.8151 0.3120
Ni 0.6217 0.5000 0.1217
Ni 0.3783 0.5000 0.8783
Ni 0.1217 0.6217 0.5000
Pm 0.5030 0.8151 0.6880
Pm 0.8729 0.1849 0.6880
Pm 0.6880 0.5030 0.8151
Pm 0.3120 0.4970 0.1849
Pm 0.1849 0.6880 0.8729
Pm 0.8151 0.3120 0.1271
Nd 0.0000 0.0000 0.0000
Ni 0.5000 0.1217 0.6217
Pm 0.4970 0.1849 0.3120
Ni 0.5000 0.8783 0.3783
Pm 0.3120 0.1271 0.8151
Pm 0.6880 0.8729 0.1849
```

## Properties
* magnetic moment: 0.00 μB per cell
* DOS(E_F): 1.320 states/eV per atom

---

Most stable structure - run b; separation to the second - 147 meV/atom.

---

Run a
Entry from the Alexandria database: PmNd4Ni2 after structural relaxation (PBE). Values from VASP.

```
&SYSTEM
  ibrav = 0, nat = 7, ntyp = 3
/
ATOMIC_SPECIES
Ni 58.69 Ni.upf
Nd 144.24 Nd.upf
Pm 145.00 Pm.upf
CELL_PARAMETERS angstrom
4.0199 0.0000 0.0000
2.0100 3.4814 0.0000
2.0100 1.1605 15.0892
ATOMIC_POSITIONS crystal
Ni 0.5985 0.5985 0.2046
Nd 0.7008 0.7008 0.8975
Nd 0.1025 0.1025 0.6925
Nd 0.8975 0.8975 0.3075
Pm 0.5000 0.5000 0.5000
Ni 0.4015 0.4015 0.7954
Nd 0.2992 0.2992 0.1025
```

## Properties
* magnetic moment: 0.00 μB per cell
* DOS(E_F): 1.267 states/eV per atom

---

Run b
Entry from the Alexandria database: PmNd4Ni2 after structural relaxation (PBE). Values from VASP.

```
&SYSTEM
  ibrav = 0, nat = 14, ntyp = 3
/
ATOMIC_SPECIES
Nd 144.24 Nd.upf
Ni 58.69 Ni.upf
Pm 145.00 Pm.upf
CELL_PARAMETERS angstrom
-1.3804 3.5922 -5.5009
7.2996 -0.2917 -2.0223
-4.5131 -6.2713 -2.9626
ATOMIC_POSITIONS crystal
Nd 0.2500 0.2566 0.3555
Ni 0.2500 0.2559 0.9966
Nd 0.4899 0.5907 0.2301
Nd 0.0101 0.5907 0.2301
Pm 0.2500 0.8595 0.9731
Nd 0.2500 0.9766 0.6197
Ni 0.7500 0.7441 0.0034
Ni 0.7500 0.3766 0.3932
Nd 0.9899 0.4093 0.7699
Nd 0.7500 0.7434 0.6445
Pm 0.7500 0.1405 0.0269
Ni 0.2500 0.6234 0.6068
Nd 0.7500 0.0234 0.3803
Nd 0.5101 0.4093 0.7699
```

## Properties
* magnetic moment: 0.00 μB per cell
* DOS(E_F): 1.272 states/eV per atom

---

Most stable structure - run b; separation to the second - 8 meV/atom.

---

Run a
Entry from the Alexandria database: Pm3NdNi2 after structural relaxation (PBE). Values from VASP.

```
&SYSTEM
  ibrav = 0, nat = 12, ntyp = 3
/
ATOMIC_SPECIES
Pm 145.00 Pm.upf
Nd 144.24 Nd.upf
Ni 58.69 Ni.upf
CELL_PARAMETERS angstrom
6.8776 0.0000 0.0000
0.0000 7.0722 0.0000
-3.4388 -3.5361 6.8304
ATOMIC_POSITIONS crystal
Pm 0.2406 0.9906 0.4812
Nd 0.0000 0.0000 0.0000
Pm 0.5000 0.7500 0.0000
Ni 0.1473 0.8611 0.7221
Ni 0.4252 0.6389 0.2779
Ni 0.8527 0.1389 0.2779
Pm 0.7594 0.0094 0.5188
Pm 0.2406 0.4906 0.4812
Nd 0.0000 0.5000 0.0000
Pm 0.7594 0.5094 0.5188
Pm 0.5000 0.2500 0.0000
Ni 0.5748 0.3611 0.7221
```

## Properties
* magnetic moment: 0.00 μB per cell
* DOS(E_F): 0.877 states/eV per atom

---

Run b
Entry from the Alexandria database: Pm3NdNi2 after structural relaxation (PBE). Values from VASP.

```
&SYSTEM
  ibrav = 0, nat = 12, ntyp = 3
/
ATOMIC_SPECIES
Pm 145.00 Pm.upf
Ni 58.69 Ni.upf
Nd 144.24 Nd.upf
CELL_PARAMETERS angstrom
-3.8690 0.7839 -0.3705
-1.8464 -2.7839 -7.8247
-4.0543 -9.0779 1.9141
ATOMIC_POSITIONS crystal
Pm 0.5827 0.2756 0.5589
Pm 0.4173 0.7244 0.4411
Pm 0.4179 0.2221 0.9422
Ni 0.7677 0.4160 0.0486
Nd 0.8463 0.5594 0.7479
Ni 0.2324 0.0834 0.4518
Ni 0.7676 0.9166 0.5482
Pm 0.1548 0.9390 0.7513
Pm 0.8452 0.0610 0.2487
Ni 0.2323 0.5840 0.9514
Nd 0.1537 0.4406 0.2521
Pm 0.5821 0.7779 0.0578
```

## Properties
* magnetic moment: 0.00 μB per cell
* DOS(E_F): 1.253 states/eV per atom

---

Most stable structure - run b; separation to the second - 94 meV/atom.